Entry a
Entry from Alexandria via LeMat-Bulk: Re2TcMo at its PBEsol-relaxed geometry (meta-GGA SCAN).

Unit cell a=3.0831 b=3.0831 c=6.2095 alpha=90.00 beta=90.00 gamma=90.00
Last column: nearest neighbours and their distance in Å.
Fractional coordinates of all 4 atoms:
Mo  0.5000  0.5000  0.7344  4 Tc 2.56, 4 Re 2.75
Re  0.0000  0.0000  0.0037  4 Re 2.64, 4 Mo 2.75
Re  0.5000  0.5000  0.2434  4 Re 2.64, 4 Tc 2.77
Tc  0.0000  0.0000  0.5185  4 Mo 2.56, 4 Re 2.77

Summary:
M_tot ... 0.0 Bohr magnetons per cell

Entry b
Entry from Alexandria via LeMat-Bulk: Re2TcMo at its PBEsol-relaxed geometry (meta-GGA SCAN).

Unit cell a=2.7520 b=4.7537 c=4.7537 alpha=109.24 beta=90.00 gamma=90.00
Last column: nearest neighbours and their distance in Å.
Fractional coordinates of all 4 atoms:
Mo  0.5000  0.5000  0.5000  8 Re 2.75, 2 Mo 2.75, 2 Tc 2.75
Re  0.0000  0.5000  0.0000  4 Tc 2.75, 4 Mo 2.75, 4 Re 2.75
Re  0.0000  0.0000  0.5000  4 Mo 2.75, 4 Tc 2.75, 4 Re 2.75
Tc  0.5000  0.0000  0.0000  8 Re 2.75, 2 Tc 2.75, 2 Mo 2.75

Summary:
M_tot ... 0.0 Bohr magnetons per cell

Entry c
Entry from Alexandria via LeMat-Bulk: Re2TcMo at its PBEsol-relaxed geometry (meta-GGA SCAN).

Unit cell a=2.7407 b=2.7407 c=9.1641 alpha=81.40 beta=81.40 gamma=60.00
Last column: nearest neighbours and their distance in Å.
Fractional coordinates of all 4 atoms:
Mo  0.0000  0.0000  0.0000  6 Mo 2.74, 6 Re 2.80
Re  0.2479  0.2479  0.2564  3 Tc 2.71, 6 Re 2.74, 3 Mo 2.80
Re  0.7521  0.7521  0.7436  3 Tc 2.71, 6 Re 2.74, 3 Mo 2.80
Tc  0.5000  0.5000  0.5000  6 Re 2.71, 6 Tc 2.74

Summary:
M_tot ... 0.0 Bohr magnetons per cell

Which is most stable? The ranking, best first, is entry b, entry c, entry a.

Entry a
Entry from Alexandria via LeMat-Bulk: ReMo2W at its PBEsol-relaxed geometry (meta-GGA SCAN).

Unit cell a=3.1229 b=3.1229 c=6.2504 alpha=90.00 beta=90.00 gamma=90.00
Last column: nearest neighbours and their distance in Å.
Fractional coordinates of all 4 atoms:
Re  0.0000  0.0000  0.5042  4 W 2.69, 4 Mo 2.74
Mo  0.0000  0.0000  0.0034  4 Mo 2.67, 4 W 2.72
Mo  0.5000  0.5000  0.2434  4 Mo 2.67, 4 Re 2.74
W  0.5000  0.5000  0.7491  4 Re 2.69, 4 Mo 2.72

Summary:
M_tot ... 0.0 Bohr magnetons per cell

Entry b
Entry from Alexandria via LeMat-Bulk: ReMo2W at its PBEsol-relaxed geometry (meta-GGA SCAN).

Unit cell a=3.1177 b=4.4220 c=5.1748 alpha=115.29 beta=107.53 gamma=90.00
Last column: nearest neighbours and their distance in Å.
Fractional coordinates of all 4 atoms:
Re  0.5015  0.5015  0.0030  2 W 2.70, 6 Mo 2.71-2.73
Mo  0.9989  0.9989  0.9977  2 W 2.68, 2 Mo 2.69, 4 Re 2.71
Mo  0.7478  0.2478  0.4956  2 Mo 2.69, 4 W 2.71, 2 Re 2.73
W  0.2518  0.7518  0.5036  6 Mo 2.68-2.71, 2 Re 2.70

Summary:
M_tot ... 0.0 Bohr magnetons per cell

Entry c
Entry from Alexandria via LeMat-Bulk: ReMo2W at its PBEsol-relaxed geometry (meta-GGA SCAN).

Unit cell a=3.1177 b=4.4087 c=5.1835 alpha=115.17 beta=107.50 gamma=90.00
Last column: nearest neighbours and their distance in Å.
Fractional coordinates of all 4 atoms:
Re  0.5000  0.0000  0.0000  4 W 2.70, 4 Mo 2.73
Mo  0.7466  0.7466  0.4932  2 W 2.68, 4 Mo 2.70, 2 Re 2.73
Mo  0.2534  0.2534  0.5068  2 W 2.68, 4 Mo 2.70, 2 Re 2.73
W  0.0000  0.5000  0.0000  4 Mo 2.68, 4 Re 2.70

Summary:
M_tot ... 0.0 Bohr magnetons per cell

Entry d
Entry from Alexandria via LeMat-Bulk: ReMo2W at its PBEsol-relaxed geometry (meta-GGA SCAN).

Unit cell a=2.7061 b=2.7061 c=8.8166 alpha=90.00 beta=90.00 gamma=109.47
Last column: nearest neighbours and their distance in Å.
Fractional coordinates of all 4 atoms:
Re  0.5000  0.5000  0.5000  4 Mo 2.69, 4 Re 2.71
Mo  0.0000  0.0000  0.2517  2 Re 2.69, 4 Mo 2.71, 2 W 2.71
Mo  0.0000  0.0000  0.7483  2 Re 2.69, 4 Mo 2.71, 2 W 2.71
W  0.5000  0.5000  0.0000  4 W 2.71, 4 Mo 2.71

Summary:
M_tot ... 0.0 Bohr magnetons per cell

Which is most stable? The ranking, best first, is entry c, entry b, entry a, entry d.